# PBE-GGA MgScH3, relaxed
# - density (kg/m³) = 2362
# - E above lowest polymorph (meV per atom) = 244.8
# - spin magnetization (μB/cell) = 0.0
# - uncorrected energy (eV per atom) = -3.5410
data_MgScH3
_cell_length_a 3.704
_cell_length_b 3.704
_cell_length_c 3.704
_cell_angle_alpha 90.00
_cell_angle_beta 90.00
_cell_angle_gamma 90.00
_symmetry_space_group_name_H-M 'P m -3 m'
_symmetry_Int_Tables_number 221
_symmetry_space_group_name_Hall '-P 4 2 3'
loop_
_atom_site_label
_atom_site_type_symbol
_atom_site_fract_x
_atom_site_fract_y
_atom_site_fract_z
Mg1 Mg 0.000 0.000 0.000
Sc1 Sc 0.500 0.500 0.500
H1 H 0.000 0.000 0.500